Density functional theory data (GGA-PBE) for a relaxed structure of CeHoThPa.

Output
V = 28.92 A^3/atom
DFT formation energy = 1.274 eV per formula unit
space-group type = No. 216
VASP energy = -26.2 eV per cell

Geometry as CIF:
```
data_CeHoThPa
_chemical_formula_sum 'Ce1 Ho1 Th1 Pa1'
_cell_length_a 5.469
_cell_length_b 5.469
_cell_length_c 5.469
_cell_angle_alpha 60.00
_cell_angle_beta 60.00
_cell_angle_gamma 60.00
_symmetry_space_group_name_H-M 'P 1'
_symmetry_Int_Tables_number 1
loop_
_symmetry_equiv_pos_as_xyz
'x,y,z'
loop_
_atom_site_label
_atom_site_type_symbol
_atom_site_fract_x
_atom_site_fract_y
_atom_site_fract_z
_atom_site_occupancy
Ce1 Ce 0.000 0.000 0.000 1
Ho1 Ho 0.250 0.250 0.250 1
Th1 Th 0.500 0.500 0.500 1
Pa1 Pa 0.750 0.750 0.750 1
```